Entry 1:
Density functional theory data (PBE-GGA) for a relaxed structure of Pm4HoSc2.

a b c (Å): 6.200 6.670 11.017
angles (deg): 90.40 106.28 90.09
Element x y z (fractional)
1 Pm 0.059 0.470 0.285
2 Pm 0.211 0.178 0.568
3 Pm 0.230 0.969 0.278
4 Pm 0.342 0.900 0.858
5 Pm 0.658 0.100 0.142
6 Pm 0.770 0.031 0.722
7 Pm 0.789 0.822 0.432
8 Pm 0.941 0.530 0.715
9 Ho 0.483 0.595 0.140
10 Ho 0.517 0.405 0.860
11 Sc 0.076 0.257 0.999
12 Sc 0.372 0.671 0.571
13 Sc 0.628 0.329 0.429
14 Sc 0.924 0.743 0.001

Results
- SG: P-1 (2)
- Density: 6340 kg/m3
- Relative energy among the computed polymorphs: 0 meV/atom
- Size of the total moment: 0.00 μB per atom
- Formation energy: 0.04 eV/atom

=====

Entry 2:
Density functional theory data (PBE-GGA) for a relaxed structure of Pm11Ho4Sc9.

a b c (Å): 14.365 14.365 3.500
angles (deg): 90.00 90.00 93.27
Element x y z (fractional)
1 Pm 0.000 0.000 0.000
2 Pm 0.075 0.412 0.000
3 Pm 0.174 0.826 0.000
4 Pm 0.230 0.230 0.000
5 Pm 0.346 0.654 0.000
6 Pm 0.412 0.075 0.000
7 Pm 0.588 0.925 0.000
8 Pm 0.654 0.346 0.000
9 Pm 0.770 0.770 0.000
10 Pm 0.826 0.174 0.000
11 Pm 0.925 0.588 0.000
12 Ho 0.280 0.443 0.500
13 Ho 0.443 0.280 0.500
14 Ho 0.557 0.720 0.500
15 Ho 0.720 0.557 0.500
16 Sc 0.027 0.206 0.500
17 Sc 0.133 0.620 0.500
18 Sc 0.206 0.027 0.500
19 Sc 0.380 0.867 0.500
20 Sc 0.500 0.500 0.500
21 Sc 0.620 0.133 0.500
22 Sc 0.794 0.973 0.500
23 Sc 0.867 0.380 0.500
24 Sc 0.973 0.794 0.500

Results
- SG: Cmmm (65)
- Density: 6124 kg/m3
- Size of the total moment: 0.00 μB per atom
- Formation energy: 0.09 eV/atom

=====

Entry 3:
Density functional theory data (PBE-GGA) for a relaxed structure of Pm4HoSc5.

a b c (Å): 7.802 7.802 7.802
angles (deg): 97.60 97.60 137.34
Element x y z (fractional)
1 Pm 0.000 0.321 0.321
2 Pm 0.000 0.679 0.679
3 Pm 0.321 0.000 0.321
4 Pm 0.679 0.000 0.679
5 Ho 0.738 0.738 0.000
6 Sc 0.223 0.223 0.000
7 Sc 0.278 0.278 0.621
8 Sc 0.278 0.656 0.000
9 Sc 0.656 0.278 0.000
10 Sc 0.656 0.656 0.379

Results
- SG: I4mm (107)
- Density: 5372 kg/m3
- Size of the total moment: 0.00 μB per atom
- Formation energy: 0.23 eV/atom

=====

Entry 4:
Density functional theory data (PBE-GGA) for a relaxed structure of Pm5HoSc4.

a b c (Å): 7.675 7.675 7.675
angles (deg): 99.40 99.40 132.34
Element x y z (fractional)
1 Pm 0.000 0.000 0.000
2 Pm 0.482 0.581 0.602
3 Pm 0.581 0.979 0.100
4 Pm 0.879 0.482 0.900
5 Pm 0.979 0.879 0.398
6 Ho 0.461 0.461 0.000
7 Sc 0.175 0.591 0.302
8 Sc 0.289 0.873 0.698
9 Sc 0.591 0.289 0.416
10 Sc 0.873 0.175 0.584

Results
- SG: I4 (79)
- Density: 5811 kg/m3
- Relative energy among the computed polymorphs: 286 meV/atom
- Size of the total moment: 0.00 μB per atom
- Formation energy: 0.33 eV/atom